(1)
Crystalline AgBi2Au at its relaxed geometry, computed with PBE.

Computed properties:
symmetry = Fm-3m, No. 225
N(E_F) = 0.2719 states/eV per atom
ΔE to the lowest computed polymorph = 0.046 eV per atom
ΔH_f (0 K) = 113 meV/atom

a b c (Å): 5.1723 5.1723 5.1723
angles (deg): 60.00 60.00 60.00
Fractional positions:
Ag: 0.0000 0.0000 0.0000
Bi: 0.2500 0.2500 0.2500
Bi: 0.7500 0.7500 0.7500
Au: 0.5000 0.5000 0.5000

(2)
Crystalline Gd2TlRu at its relaxed geometry, computed with PBE.

Computed properties:
symmetry = Fm-3m, No. 225
N(E_F) = 0.5557 states/eV per atom
ΔE to the lowest computed polymorph = 0.149 eV per atom
ΔH_f (0 K) = -223 meV/atom

a b c (Å): 5.1310 5.1310 5.1310
angles (deg): 60.00 60.00 60.00
Fractional positions:
Gd: 0.2500 0.2500 0.2500
Gd: 0.7500 0.7500 0.7500
Tl: 0.0000 0.0000 0.0000
Ru: 0.5000 0.5000 0.5000

(3)
Crystalline NaTbY at its relaxed geometry, computed with PBE.

Computed properties:
symmetry = I4mm, No. 107
N(E_F) = 1.2520 states/eV per atom
ΔE to the lowest computed polymorph = 0.017 eV per atom
ΔH_f (0 K) = 157 meV/atom

a b c (Å): 3.5062 3.5062 8.5017
angles (deg): 101.90 101.90 90.00
Fractional positions:
Y: 0.6754 0.6754 0.3509
Tb: 0.3244 0.3244 0.6487
Na: 0.0002 0.0002 0.0004

(4)
Crystalline Sc2FeCuC at its relaxed geometry, computed with PBE.

Computed properties:
symmetry = P4/mmm, No. 123
N(E_F) = 0.6639 states/eV per atom
ΔH_f (0 K) = -335 meV/atom

a b c (Å): 4.5468 4.5468 3.5920
angles (deg): 90.00 90.00 90.00
Fractional positions:
Sc: 0.5000 0.0000 0.0000
Sc: 0.0000 0.5000 0.0000
C: 0.0000 0.0000 0.0000
Cu: 0.5000 0.5000 0.5000
Fe: 0.0000 0.0000 0.5000

(5)
Crystalline Cr3BiW at its relaxed geometry, computed with PBE.

Computed properties:
symmetry = Pm-3m, No. 221
N(E_F) = 0.6788 states/eV per atom
ΔE to the lowest computed polymorph = 0.000 eV per atom
ΔH_f (0 K) = 1306 meV/atom

a b c (Å): 4.7717 4.7717 4.7717
angles (deg): 90.00 90.00 90.00
Fractional positions:
Cr: 0.5000 0.0000 0.0000
Cr: 0.0000 0.5000 0.0000
Cr: 0.0000 0.0000 0.5000
Bi: 0.5000 0.5000 0.5000
W: 0.0000 0.0000 0.0000

(6)
Crystalline CaAl4Ag2 at its relaxed geometry, computed with PBE.

Computed properties:
symmetry = Cmmm, No. 65
N(E_F) = 0.1729 states/eV per atom
ΔE to the lowest computed polymorph = 0.000 eV per atom
ΔH_f (0 K) = -179 meV/atom

a b c (Å): 4.2288 3.9045 8.5883
angles (deg): 103.14 90.00 90.00
Fractional positions:
Al: 0.5000 0.1911 0.3822
Al: 0.5000 0.8089 0.6178
Al: 0.0000 0.3110 0.6221
Al: 0.0000 0.6890 0.3779
Ag: 0.5000 0.5833 0.1666
Ag: 0.5000 0.4167 0.8334
Ca: 0.0000 0.0000 0.0000

(7)
Crystalline LaBeRh at its relaxed geometry, computed with PBE.

Computed properties:
symmetry = F-43m, No. 216
N(E_F) = 0.4072 states/eV per atom
ΔE to the lowest computed polymorph = 0.433 eV per atom
ΔH_f (0 K) = -90 meV/atom

a b c (Å): 4.5574 4.5574 4.5574
angles (deg): 60.00 60.00 60.00
Fractional positions:
Be: 0.0000 0.0000 0.0000
La: 0.5000 0.5000 0.5000
Rh: 0.7500 0.7500 0.7500

(8)
Crystalline PmPa2Sn at its relaxed geometry, computed with PBE.

Computed properties:
symmetry = P4/mmm, No. 123
N(E_F) = 1.9194 states/eV per atom
ΔE to the lowest computed polymorph = 0.000 eV per atom
ΔH_f (0 K) = -146 meV/atom

a b c (Å): 5.1543 4.5162 4.5162
angles (deg): 90.00 90.00 90.00
Fractional positions:
Pa: 0.0000 0.5000 0.0000
Pa: 0.0000 0.0000 0.5000
Pm: 0.5000 0.5000 0.5000
Sn: 0.5000 0.0000 0.0000

(9)
Crystalline Tb2Nd2Th at its relaxed geometry, computed with PBE.

Computed properties:
symmetry = Cmmm, No. 65
N(E_F) = 1.4455 states/eV per atom
ΔE to the lowest computed polymorph = 0.064 eV per atom
ΔH_f (0 K) = 77 meV/atom

a b c (Å): 3.5486 5.4998 8.9506
angles (deg): 107.88 90.00 90.00
Fractional positions:
Tb: 0.0000 0.8016 0.6035
Tb: 0.0000 0.1984 0.3965
Nd: 0.5000 0.3943 0.7893
Nd: 0.5000 0.6057 0.2107
Th: 0.0000 0.0000 0.0000

(10)
Crystalline BeCuAg2 at its relaxed geometry, computed with PBE.

Computed properties:
symmetry = C2/m, No. 12
N(E_F) = 0.3048 states/eV per atom
ΔH_f (0 K) = 199 meV/atom

a b c (Å): 4.9456 4.9456 4.3711
angles (deg): 62.40 62.40 37.86
Fractional positions:
Cu: 0.7500 0.7500 0.7500
Ag: 0.5320 0.5320 0.4672
Ag: 0.9680 0.9680 0.0328
Be: 0.2500 0.2500 0.2500

(11)
Crystalline Li2MgRe at its relaxed geometry, computed with PBE.

Computed properties:
symmetry = I-42d, No. 122
N(E_F) = 0.5749 states/eV per atom
ΔE to the lowest computed polymorph = 0.722 eV per atom
ΔH_f (0 K) = 920 meV/atom

a b c (Å): 6.8594 6.8594 5.5244
angles (deg): 51.62 51.62 90.00
Fractional positions:
Li: 0.1282 0.6250 0.2500
Li: 0.6218 0.1250 0.2500
Li: 0.3750 0.3782 0.7500
Li: 0.8750 0.8718 0.7500
Mg: 0.2500 0.7500 0.5000
Mg: 0.5000 0.5000 0.0000
Re: 0.0000 0.0000 0.0000
Re: 0.7500 0.2500 0.5000

(12)
Crystalline Sr2FePt2 at its relaxed geometry, computed with PBE.

Computed properties:
symmetry = P4/mbm, No. 127
N(E_F) = 1.1038 states/eV per atom
ΔH_f (0 K) = -333 meV/atom

a b c (Å): 6.9886 6.9886 4.7514
angles (deg): 90.00 90.00 90.00
Fractional positions:
Pt: 0.6395 0.1395 0.0000
Pt: 0.3605 0.8605 0.0000
Pt: 0.8605 0.6395 0.0000
Pt: 0.1395 0.3605 0.0000
Sr: 0.3258 0.1742 0.5000
Sr: 0.1742 0.6742 0.5000
Sr: 0.8258 0.3258 0.5000
Sr: 0.6742 0.8258 0.5000
Fe: 0.0000 0.0000 0.0000
Fe: 0.5000 0.5000 0.0000

(13)
Crystalline CaMg2Pb at its relaxed geometry, computed with PBE.

Computed properties:
symmetry = Cm, No. 8
N(E_F) = 0.7100 states/eV per atom
ΔE to the lowest computed polymorph = 0.127 eV per atom
ΔH_f (0 K) = -114 meV/atom

a b c (Å): 5.5224 5.5224 6.0971
angles (deg): 79.28 79.28 38.08
Fractional positions:
Mg: 0.9928 0.9928 0.0354
Mg: 0.2452 0.2452 0.2335
Ca: 0.7538 0.7538 0.7409
Pb: 0.5082 0.5082 0.4901

(14)
Crystalline SrHfTi3 at its relaxed geometry, computed with PBE.

Computed properties:
symmetry = Pm-3m, No. 221
N(E_F) = 1.3822 states/eV per atom
ΔE to the lowest computed polymorph = 0.000 eV per atom
ΔH_f (0 K) = 933 meV/atom

a b c (Å): 5.0744 5.0744 5.0744
angles (deg): 90.00 90.00 90.00
Fractional positions:
Sr: 0.5000 0.5000 0.5000
Ti: 0.0000 0.5000 0.0000
Ti: 0.0000 0.0000 0.5000
Ti: 0.5000 0.0000 0.0000
Hf: 0.0000 0.0000 0.0000

(15)
Crystalline TaTc3Os at its relaxed geometry, computed with PBE.

Computed properties:
symmetry = Pm-3m, No. 221
N(E_F) = 1.1559 states/eV per atom
ΔE to the lowest computed polymorph = 0.000 eV per atom
ΔH_f (0 K) = 1682 meV/atom

a b c (Å): 4.6218 4.6218 4.6218
angles (deg): 90.00 90.00 90.00
Fractional positions:
Tc: 0.0000 0.0000 0.5000
Tc: 0.5000 0.0000 0.0000
Tc: 0.0000 0.5000 0.0000
Os: 0.0000 0.0000 0.0000
Ta: 0.5000 0.5000 0.5000

(16)
Crystalline ZrAlOs2 at its relaxed geometry, computed with PBE.

Computed properties:
symmetry = I-42d, No. 122
N(E_F) = 1.0071 states/eV per atom
ΔH_f (0 K) = 388 meV/atom

a b c (Å): 7.0143 7.0143 5.7056
angles (deg): 52.07 52.07 90.00
Fractional positions:
Zr: 0.0000 0.0000 0.0000
Zr: 0.7500 0.2500 0.5000
Os: 0.5884 0.1250 0.2500
Os: 0.3750 0.4116 0.7500
Os: 0.1616 0.6250 0.2500
Os: 0.8750 0.8384 0.7500
Al: 0.5000 0.5000 0.0000
Al: 0.2500 0.7500 0.5000

(17)
Crystalline LiCr2Mo at its relaxed geometry, computed with PBE.

Computed properties:
symmetry = Immm, No. 71
N(E_F) = 1.1880 states/eV per atom
ΔE to the lowest computed polymorph = 0.170 eV per atom
ΔH_f (0 K) = 465 meV/atom

a b c (Å): 4.8139 4.8139 4.8139
angles (deg): 143.22 128.95 64.56
Fractional positions:
Cr: 0.5099 0.5099 0.0000
Cr: 0.9901 0.9901 0.0000
Mo: 0.7500 0.2500 0.5000
Li: 0.2500 0.7500 0.5000

(18)
Crystalline TiCo2Au at its relaxed geometry, computed with PBE.

Computed properties:
symmetry = Fm-3m, No. 225
N(E_F) = 1.3960 states/eV per atom
ΔH_f (0 K) = -107 meV/atom

a b c (Å): 4.2441 4.2441 4.2441
angles (deg): 60.00 60.00 60.00
Fractional positions:
Au: 0.5000 0.5000 0.5000
Ti: 0.0000 0.0000 0.0000
Co: 0.2500 0.2500 0.2500
Co: 0.7500 0.7500 0.7500

(19)
Crystalline Zr2BeAl at its relaxed geometry, computed with PBE.

Computed properties:
symmetry = Imm2, No. 44
N(E_F) = 0.6577 states/eV per atom
ΔE to the lowest computed polymorph = 0.037 eV per atom
ΔH_f (0 K) = -204 meV/atom

a b c (Å): 5.5424 5.5424 4.6926
angles (deg): 64.97 64.97 33.30
Fractional positions:
Al: 0.5377 0.5377 0.4624
Zr: 0.9771 0.9771 0.0230
Zr: 0.7545 0.7545 0.7454
Be: 0.2307 0.2307 0.2692

(20)
Crystalline PmEuCuSn at its relaxed geometry, computed with PBE.

Computed properties:
symmetry = F-43m, No. 216
N(E_F) = 2.5171 states/eV per atom
ΔH_f (0 K) = -413 meV/atom

a b c (Å): 5.3372 5.3372 5.3372
angles (deg): 60.00 60.00 60.00
Fractional positions:
Sn: 0.2500 0.2500 0.2500
Eu: 0.0000 0.0000 0.0000
Pm: 0.5000 0.5000 0.5000
Cu: 0.7500 0.7500 0.7500

(21)
Crystalline Li4InHg2 at its relaxed geometry, computed with PBE.

Computed properties:
symmetry = Cmmm, No. 65
N(E_F) = 0.2704 states/eV per atom
ΔE to the lowest computed polymorph = 0.147 eV per atom
ΔH_f (0 K) = -163 meV/atom

a b c (Å): 5.1326 5.2450 6.1542
angles (deg): 115.22 90.00 90.00
Fractional positions:
Hg: 0.5000 0.1265 0.2530
Hg: 0.5000 0.8735 0.7470
Li: 0.0000 0.8089 0.6178
Li: 0.0000 0.1911 0.3822
Li: 0.5000 0.3652 0.7304
Li: 0.5000 0.6348 0.2696
In: 0.0000 0.5000 0.0000

(22)
Crystalline SrPIrPd at its relaxed geometry, computed with PBE.

Computed properties:
symmetry = P4/nmm, No. 129
N(E_F) = 0.4491 states/eV per atom
ΔH_f (0 K) = -660 meV/atom

a b c (Å): 3.9446 3.9446 10.7161
angles (deg): 90.00 90.00 90.00
Fractional positions:
Pd: 0.7500 0.2500 0.5000
Pd: 0.2500 0.7500 0.5000
P: 0.7500 0.7500 0.8757
P: 0.2500 0.2500 0.1243
Sr: 0.7500 0.7500 0.2754
Sr: 0.2500 0.2500 0.7246
Ir: 0.7500 0.2500 0.0000
Ir: 0.2500 0.7500 0.0000

(23)
Crystalline MgMoBr at its relaxed geometry, computed with PBE.

Computed properties:
symmetry = I4mm, No. 107
N(E_F) = 0.6486 states/eV per atom
ΔE to the lowest computed polymorph = 0.117 eV per atom
ΔE_f (raw) = 0.38 eV per atom

a b c (Å): 6.6004 6.6004 6.6004
angles (deg): 152.43 152.43 39.38
Fractional positions:
Mg: 0.3077 0.3077 0.0000
Br: 0.0342 0.0342 0.0000
Mo: 0.6582 0.6582 0.0000

(24)
Crystalline TlNi2P at its relaxed geometry, computed with PBE.

Computed properties:
symmetry = Fm-3m, No. 225
N(E_F) = 0.7573 states/eV per atom
ΔH_f (0 K) = 345 meV/atom

a b c (Å): 4.3683 4.3683 4.3683
angles (deg): 60.00 60.00 60.00
Fractional positions:
P: 0.0000 0.0000 0.0000
Ni: 0.2500 0.2500 0.2500
Ni: 0.7500 0.7500 0.7500
Tl: 0.5000 0.5000 0.5000

(25)
Crystalline LaAlRe at its relaxed geometry, computed with PBE.

Computed properties:
symmetry = F-43m, No. 216
N(E_F) = 1.2131 states/eV per atom
ΔE to the lowest computed polymorph = 0.567 eV per atom
ΔH_f (0 K) = 369 meV/atom

a b c (Å): 4.6013 4.6013 4.6013
angles (deg): 60.00 60.00 60.00
Fractional positions:
La: 0.5000 0.5000 0.5000
Re: 0.7500 0.7500 0.7500
Al: 0.0000 0.0000 0.0000

(26)
Crystalline LaNbCoCu2 at its relaxed geometry, computed with PBE.

Computed properties:
symmetry = P4/mmm, No. 123
N(E_F) = 1.0613 states/eV per atom
ΔH_f (0 K) = 316 meV/atom

a b c (Å): 4.6576 4.4400 4.6576
angles (deg): 90.00 90.00 90.00
Fractional positions:
Cu: 0.0000 0.0000 0.5000
Cu: 0.5000 0.0000 0.0000
Co: 0.0000 0.0000 0.0000
Nb: 0.0000 0.5000 0.0000
La: 0.5000 0.5000 0.5000

(27)
Crystalline Ti2SiC at its relaxed geometry, computed with PBE.

Computed properties:
symmetry = I-42d, No. 122
N(E_F) = 0.3776 states/eV per atom
ΔE_f (raw) = -0.20 eV per atom

a b c (Å): 6.1799 6.1799 5.2241
angles (deg): 53.74 53.74 90.00
Fractional positions:
Ti: 0.1841 0.6250 0.2500
Ti: 0.3750 0.4341 0.7500
Ti: 0.5659 0.1250 0.2500
Ti: 0.8750 0.8159 0.7500
C: 0.2500 0.7500 0.5000
C: 0.5000 0.5000 0.0000
Si: 0.0000 0.0000 0.0000
Si: 0.7500 0.2500 0.5000

(28)
Crystalline RbFeBr3 at its relaxed geometry, computed with PBE.

Computed properties:
symmetry = P2_1/m, No. 11
N(E_F) = 1.1527 states/eV per atom
ΔE_f (raw) = -0.89 eV per atom

a b c (Å): 3.8232 7.4854 12.6196
angles (deg): 90.00 107.71 90.00
Fractional positions:
Br: 0.3304 0.7500 0.0799
Br: 0.9167 0.0253 0.6683
Br: 0.6696 0.2500 0.9201
Br: 0.0833 0.9747 0.3317
Br: 0.0833 0.5253 0.3317
Br: 0.9167 0.4747 0.6683
Fe: 0.4657 0.2500 0.7166
Fe: 0.5343 0.7500 0.2834
Rb: 0.4072 0.2500 0.1566
Rb: 0.5928 0.7500 0.8434